# 1
# B2C PBE-GGA optimized geometry
data_B2C
_chemical_formula_sum 'B8 C4'
_symmetry_space_group_name_H-M 'P 1'
_symmetry_Int_Tables_number 1
_cell_length_a 4.9252
_cell_length_b 2.6573
_cell_length_c 6.6010
_cell_angle_alpha 90.00
_cell_angle_beta 91.79
_cell_angle_gamma 90.00
loop_
_symmetry_equiv_pos_as_xyz
'x,y,z'
loop_
_atom_site_label
_atom_site_type_symbol
_atom_site_fract_x
_atom_site_fract_y
_atom_site_fract_z
B1 B 0.0405 0.2500 0.2298
B2 B 0.1079 0.2500 0.4991
B3 B 0.2127 0.7500 0.0999
B4 B 0.3560 0.2500 0.7692
B5 B 0.6440 0.7500 0.2308
B6 B 0.7873 0.2500 0.9001
B7 B 0.8921 0.7500 0.5009
B8 B 0.9595 0.7500 0.7702
C1 C 0.2684 0.7500 0.8735
C2 C 0.4356 0.2500 0.5377
C3 C 0.5644 0.7500 0.4623
C4 C 0.7316 0.2500 0.1265
# SG = P2_1/m, No. 11
# energy of formation from the pure elements = 0.4294 eV/atom



# 2
# LaCd2HgO PBE-GGA optimized geometry
data_LaCd2HgO
_chemical_formula_sum 'La1 Cd2 Hg1 O1'
_symmetry_space_group_name_H-M 'P 1'
_symmetry_Int_Tables_number 1
_cell_length_a 5.3243
_cell_length_b 5.3243
_cell_length_c 4.4731
_cell_angle_alpha 90.00
_cell_angle_beta 90.00
_cell_angle_gamma 90.00
loop_
_symmetry_equiv_pos_as_xyz
'x,y,z'
loop_
_atom_site_label
_atom_site_type_symbol
_atom_site_fract_x
_atom_site_fract_y
_atom_site_fract_z
La1 La 0.0000 0.0000 0.0000
Cd1 Cd 0.0000 0.5000 0.5000
Cd2 Cd 0.5000 0.0000 0.5000
Hg1 Hg 0.5000 0.5000 0.0000
O1 O 0.0000 0.0000 0.5000
# SG = P4/mmm, No. 123
# raw formation energy = -0.835 eV per atom



# 3
# AcTbPm2 PBE-GGA optimized geometry
data_AcTbPm2
_chemical_formula_sum 'Ac1 Tb1 Pm2'
_symmetry_space_group_name_H-M 'P 1'
_symmetry_Int_Tables_number 1
_cell_length_a 12.2449
_cell_length_b 12.2449
_cell_length_c 12.2449
_cell_angle_alpha 17.53
_cell_angle_beta 17.53
_cell_angle_gamma 17.53
loop_
_symmetry_equiv_pos_as_xyz
'x,y,z'
loop_
_atom_site_label
_atom_site_type_symbol
_atom_site_fract_x
_atom_site_fract_y
_atom_site_fract_z
Ac1 Ac 0.0000 0.0000 0.0000
Tb1 Tb 0.1665 0.1665 0.1665
Pm1 Pm 0.5796 0.5796 0.5796
Pm2 Pm 0.7538 0.7538 0.7538
# SG = R3m, No. 160
# energy of formation from the pure elements = 0.0461 eV/atom



# 4
# La2CdSnPd6 PBE-GGA optimized geometry
data_La2CdSnPd6
_chemical_formula_sum 'La2 Cd1 Sn1 Pd6'
_symmetry_space_group_name_H-M 'P 1'
_symmetry_Int_Tables_number 1
_cell_length_a 6.7073
_cell_length_b 6.7073
_cell_length_c 7.9793
_cell_angle_alpha 126.25
_cell_angle_beta 126.25
_cell_angle_gamma 50.08
loop_
_symmetry_equiv_pos_as_xyz
'x,y,z'
loop_
_atom_site_label
_atom_site_type_symbol
_atom_site_fract_x
_atom_site_fract_y
_atom_site_fract_z
La1 La 0.0047 0.0047 0.2572
La2 La 0.9953 0.9953 0.7428
Cd1 Cd 0.5000 0.5000 0.5000
Sn1 Sn 0.5000 0.5000 0.0000
Pd1 Pd 0.0025 0.5053 0.6964
Pd2 Pd 0.3026 0.3026 0.0536
Pd3 Pd 0.4947 0.9975 0.3036
Pd4 Pd 0.5053 0.0025 0.6964
Pd5 Pd 0.6974 0.6974 0.9464
Pd6 Pd 0.9975 0.4947 0.3036
# SG = C2/m, No. 12
# energy of formation from the pure elements = -0.6223 eV/atom



# 5
# Sm12Y2Er5 PBE-GGA optimized geometry
data_Sm12Y2Er5
_chemical_formula_sum 'Sm12 Y2 Er5'
_symmetry_space_group_name_H-M 'P 1'
_symmetry_Int_Tables_number 1
_cell_length_a 9.3875
_cell_length_b 9.3875
_cell_length_c 7.9364
_cell_angle_alpha 90.97
_cell_angle_beta 90.97
_cell_angle_gamma 65.63
loop_
_symmetry_equiv_pos_as_xyz
'x,y,z'
loop_
_atom_site_label
_atom_site_type_symbol
_atom_site_fract_x
_atom_site_fract_y
_atom_site_fract_z
Sm1 Sm 0.0515 0.0515 0.2088
Sm2 Sm 0.0740 0.5403 0.7046
Sm3 Sm 0.1209 0.6678 0.1110
Sm4 Sm 0.3322 0.8791 0.8890
Sm5 Sm 0.3453 0.3453 0.3775
Sm6 Sm 0.4597 0.9260 0.2954
Sm7 Sm 0.5403 0.0740 0.7046
Sm8 Sm 0.6547 0.6547 0.6225
Sm9 Sm 0.6678 0.1209 0.1110
Sm10 Sm 0.8791 0.3322 0.8890
Sm11 Sm 0.9260 0.4597 0.2954
Sm12 Sm 0.9485 0.9485 0.7912
Y1 Y 0.2634 0.7366 0.5000
Y2 Y 0.7366 0.2634 0.5000
Er1 Er 0.1484 0.1484 0.5849
Er2 Er 0.2541 0.2541 0.0083
Er3 Er 0.5000 0.5000 0.0000
Er4 Er 0.7459 0.7459 0.9917
Er5 Er 0.8516 0.8516 0.4151
# SG = C2/m, No. 12
# energy of formation from the pure elements = 0.1365 eV/atom



# 6
# HgPbAu3 PBE-GGA optimized geometry
data_HgPbAu3
_chemical_formula_sum 'Hg1 Pb1 Au3'
_symmetry_space_group_name_H-M 'P 1'
_symmetry_Int_Tables_number 1
_cell_length_a 5.2185
_cell_length_b 5.2185
_cell_length_c 5.2185
_cell_angle_alpha 90.00
_cell_angle_beta 90.00
_cell_angle_gamma 90.00
loop_
_symmetry_equiv_pos_as_xyz
'x,y,z'
loop_
_atom_site_label
_atom_site_type_symbol
_atom_site_fract_x
_atom_site_fract_y
_atom_site_fract_z
Hg1 Hg 0.0000 0.0000 0.0000
Pb1 Pb 0.5000 0.5000 0.5000
Au1 Au 0.0000 0.0000 0.5000
Au2 Au 0.0000 0.5000 0.0000
Au3 Au 0.5000 0.0000 0.0000
# SG = Pm-3m, No. 221
# energy of formation from the pure elements = 0.4691 eV/atom



Computed VASP energy, in the same sequence as the records: -85.16 -16.19 -18.06 -52.15 -89.78 -11.50 eV/cell.